Computed, not measured: crystalline Ce3CoIr2 at its relaxed geometry at the PBE level of DFT.

Size of the total moment = 0.0 Bohr magnetons per cell
Symmetry = C2/m, No. 12
Polymorph energy (0 for the lowest one) = 43 kJ/mol of formula units
DFT formation energy = -11.44 kcal/mol of atoms

abc: 6.899 6.893 6.886
angles: 80.39 70.50 59.97
Fractional coordinates of all 12 atoms:
Ce  0.421  0.660  0.755
Ce  0.260  0.000  0.242
Ce  0.579  0.340  0.245
Ce  0.918  0.660  0.245
Ce  0.082  0.340  0.755
Ce  0.740  0.000  0.758
Co  0.667  0.666  0.000
Co  0.333  0.334  0.000
Ir  0.000  0.000  0.000
Ir  0.500  0.000  0.500
Ir  0.164  0.671  0.500
Ir  0.836  0.329  0.500

=====

Computed, not measured: crystalline Pu2ZnGa6Si at its relaxed geometry at the PBE level of DFT.

Size of the total moment = 22.1 Bohr magnetons per cell
E_form (uncorrected) = -0.11 eV per atom
Symmetry = Pmmn, No. 59

abc: 7.208 6.592 8.514
angles: 90.00 90.00 90.00
Last column: magnetic moment on the atom in μB.
Fractional coordinates of all 20 atoms:
Pu  0.500  0.752  0.243  -5.32
Pu  0.000  0.248  0.743  -5.32
Pu  0.500  0.752  0.757  -5.32
Pu  0.000  0.248  0.257  -5.32
Zn  0.500  0.064  0.500  0.00
Zn  0.000  0.936  0.000  0.00
Ga  0.500  0.254  0.248  0.04
Ga  0.500  0.254  0.752  0.04
Ga  0.000  0.746  0.252  0.04
Ga  0.000  0.746  0.748  0.04
Ga  0.185  0.924  0.500  0.01
Ga  0.815  0.924  0.500  0.01
Ga  0.323  0.448  0.500  0.01
Ga  0.677  0.448  0.500  0.01
Ga  0.823  0.552  0.000  0.01
Ga  0.177  0.552  0.000  0.01
Ga  0.315  0.076  0.000  0.01
Ga  0.685  0.076  0.000  0.01
Si  0.000  0.551  0.500  0.02
Si  0.500  0.449  0.000  0.02

=====

Computed, not measured: crystalline GdBiS2 at its relaxed geometry at the PBE level of DFT.

Size of the total moment = 7.0 Bohr magnetons per cell
E_form (uncorrected) = -0.50 eV per atom
Symmetry = R-3m, No. 166

abc: 4.104 4.104 8.818
angles: 76.55 76.55 60.00
Last column: magnetic moment on the atom in μB.
Fractional coordinates of all 4 atoms:
S  0.106  0.106  0.681  -0.01
S  0.894  0.894  0.319  -0.01
Gd  0.000  0.000  0.000  6.91
Bi  0.500  0.500  0.500  -0.01

=====

Computed, not measured: crystalline PmBiO at its relaxed geometry at the PBE level of DFT.

Size of the total moment = 0.0 Bohr magnetons per cell
E_form (uncorrected) = -1.86 eV per atom
Symmetry = P-3m1, No. 164
Polymorph energy (0 for the lowest one) = 47 kJ/mol of formula units

abc: 3.947 3.947 10.776
angles: 90.00 90.00 120.00
Fractional coordinates of all 6 atoms:
Pm  0.667  0.333  0.138
Pm  0.333  0.667  0.862
Bi  0.667  0.333  0.603
Bi  0.333  0.667  0.397
O  0.667  0.333  0.916
O  0.333  0.667  0.084